Record 1
{
  "formula": "Cs2BaAs2S6",
  "functional": "PBE-GGA",
  "state": "optimized geometry",
  "e_form_raw_ev_per_atom": -0.835,
  "final_energy_ev_per_atom": -4.2614,
  "sg": "C2/m, No. 12",
  "total_magnetization_mub_per_atom": 0.000,
  "lattice": [[6.5955, -3.7612, 0.0000], [6.5955, 3.7612, 0.0000], [-4.7038, 0.0000, 7.5856]],
  "species": ["Cs", "Cs", "Ba", "As", "As", "S", "S", "S", "S", "S", "S"],
  "fractional_positions": [[0.2148, 0.2148, 0.2132], [0.7852, 0.7852, 0.7868], [0.0000, 0.0000, 0.5000], [0.4690, 0.4690, 0.8357], [0.5310, 0.5310, 0.1643], [0.2097, 0.6903, 0.1895], [0.2760, 0.2760, 0.6718], [0.3097, 0.7903, 0.8105], [0.6903, 0.2097, 0.1895], [0.7240, 0.7240, 0.3282], [0.7903, 0.3097, 0.8105]]
}

---

Record 2
{
  "formula": "Cs2BaAsS4",
  "functional": "PBE-GGA",
  "state": "optimized geometry",
  "e_form_raw_ev_per_atom": -0.846,
  "final_energy_ev_per_atom": -3.9442,
  "sg": "Fddd, No. 70",
  "total_magnetization_mub_per_atom": 0.000,
  "lattice": [[0.0000, 7.2837, 14.4381], [3.5755, 0.0000, 14.4381], [3.5755, 7.2837, 0.0000]],
  "species": ["Cs", "Cs", "Cs", "Cs", "Ba", "Ba", "As", "As", "S", "S", "S", "S", "S", "S", "S", "S"],
  "fractional_positions": [[0.0679, 0.0679, 0.6821], [0.3179, 0.3179, 0.9321], [0.6821, 0.6821, 0.0679], [0.9321, 0.9321, 0.3179], [0.1250, 0.1250, 0.1250], [0.8750, 0.8750, 0.8750], [0.3750, 0.3750, 0.3750], [0.6250, 0.6250, 0.6250], [0.0467, 0.6153, 0.5028], [0.3351, 0.5028, 0.6153], [0.3847, 0.9533, 0.6649], [0.4972, 0.6649, 0.9533], [0.5028, 0.3351, 0.0467], [0.6153, 0.0467, 0.3351], [0.6649, 0.4972, 0.3847], [0.9533, 0.3847, 0.4972]]
}

---

Record 3
{
  "formula": "CsBaAs2Se",
  "functional": "PBE-GGA",
  "state": "optimized geometry",
  "e_form_raw_ev_per_atom": 0.081,
  "final_energy_ev_per_atom": -3.0311,
  "sg": "P4/mmm, No. 123",
  "total_magnetization_mub_per_atom": 0.741,
  "relative_energy_mev_per_atom": 0.0,
  "lattice": [[6.3417, 0.0000, 0.0000], [0.0000, 6.3417, 0.0000], [0.0000, 0.0000, 6.2100]],
  "species": ["Cs", "Ba", "As", "As", "Se"],
  "fractional_positions": [[0.0000, 0.0000, 0.0000], [0.5000, 0.5000, 0.5000], [0.0000, 0.5000, 0.5000], [0.5000, 0.0000, 0.5000], [0.5000, 0.5000, 0.0000]]
}

---

Record 4
{
  "formula": "CsBaAsSe2",
  "functional": "PBE-GGA",
  "state": "optimized geometry",
  "e_form_raw_ev_per_atom": 0.162,
  "final_energy_ev_per_atom": -2.7175,
  "sg": "P4/mmm, No. 123",
  "total_magnetization_mub_per_atom": 0.261,
  "relative_energy_mev_per_atom": 432.1,
  "lattice": [[5.9592, 0.0000, 0.0000], [0.0000, 5.9592, 0.0000], [0.0000, 0.0000, 5.7192]],
  "species": ["Cs", "Ba", "As", "Se", "Se"],
  "fractional_positions": [[0.0000, 0.0000, 0.0000], [0.5000, 0.5000, 0.5000], [0.0000, 0.0000, 0.5000], [0.0000, 0.5000, 0.0000], [0.5000, 0.0000, 0.0000]]
}